(1)
The following is a DFT calculation (PBE) of a relaxed TcP2HS crystal.

Total magnetization   0.76 μB/f.u.

Lattice parameters (Å, degrees): 3.602 3.602 4.751 90.00 90.00 90.00
Space group P4/mmm (No. 123)
Asymmetric unit:
Tc 0.000 0.000 0.000 (multiplicity 1)
P 0.000 0.500 0.500 (multiplicity 2)
H 0.500 0.500 0.500 (multiplicity 1)
S 0.500 0.500 0.000 (multiplicity 1)

=====

(2)
The following is a DFT calculation (PBE) of a relaxed TcP2HS crystal.

Total magnetization   0.00 μB/f.u.

Lattice parameters (Å, degrees): 4.619 4.619 4.554 90.00 90.00 90.00
Space group P4/mmm (No. 123)
Asymmetric unit:
Tc 0.000 0.000 0.000 (multiplicity 1)
P 0.000 0.500 0.000 (multiplicity 2)
H 0.500 0.500 0.500 (multiplicity 1)
S 0.000 0.000 0.500 (multiplicity 1)

=====

What should be chosen as the most stable of them? Choose (1).

=====

(1)
The following is a DFT calculation (PBE) of a relaxed TePHS2 crystal.

Total magnetization   0.00 μB/f.u.

Lattice parameters (Å, degrees): 4.909 4.909 3.291 90.00 90.00 90.00
Space group P4/mmm (No. 123)
Asymmetric unit:
Te 0.000 0.000 0.000 (multiplicity 1)
P 0.500 0.500 0.000 (multiplicity 1)
H 0.500 0.500 0.500 (multiplicity 1)
S 0.000 0.500 0.500 (multiplicity 2)

=====

(2)
The following is a DFT calculation (PBE) of a relaxed TePHS2 crystal.

Total magnetization   2.54 μB/f.u.

Lattice parameters (Å, degrees): 5.158 5.158 5.263 90.00 90.00 90.00
Space group P4/mmm (No. 123)
Asymmetric unit:
Te 0.000 0.000 0.000 (multiplicity 1)
P 0.000 0.000 0.500 (multiplicity 1)
H 0.500 0.500 0.500 (multiplicity 1)
S 0.000 0.500 0.000 (multiplicity 2)

=====

What should be chosen as the most stable of them? Choose (1).

=====

(1)
The following is a DFT calculation (PBE) of a relaxed VP2HS crystal.

Total magnetization   0.00 μB/f.u.

Lattice parameters (Å, degrees): 3.509 3.509 5.033 90.00 90.00 90.00
Space group P4/mmm (No. 123)
Asymmetric unit:
V 0.000 0.000 0.000 (multiplicity 1)
P 0.000 0.500 0.500 (multiplicity 2)
H 0.500 0.500 0.500 (multiplicity 1)
S 0.500 0.500 0.000 (multiplicity 1)

=====

(2)
The following is a DFT calculation (PBE) of a relaxed VP2HS crystal.

Total magnetization   0.44 μB/f.u.

Lattice parameters (Å, degrees): 4.537 4.537 4.490 90.00 90.00 90.00
Space group P4/mmm (No. 123)
Asymmetric unit:
V 0.000 0.000 0.000 (multiplicity 1)
P 0.000 0.500 0.000 (multiplicity 2)
H 0.500 0.500 0.500 (multiplicity 1)
S 0.000 0.000 0.500 (multiplicity 1)

=====

What should be chosen as the most stable of them? Choose (1).